First-principles (PBE+U) data for a geometry-optimized ScNiPO2 structure, as listed in the Alexandria database.

Structure (CIF):
```
data_ScNiPO2
_chemical_formula_sum 'Sc1 Ni1 P1 O2'
_space_group_name_H-M_alt 'P 1'
_space_group_IT_number 1
_space_group_name_Hall 'P 1'
_cell_length_a 3.914
_cell_length_b 3.914
_cell_length_c 5.634
_cell_angle_alpha 90.00
_cell_angle_beta 90.00
_cell_angle_gamma 90.00
loop_
_atom_site_label
_atom_site_type_symbol
_atom_site_fract_x
_atom_site_fract_y
_atom_site_fract_z
Sc1 Sc 0.000 0.000 0.000
Ni1 Ni 0.500 0.500 0.500
P1 P 0.000 0.000 0.500
O1 O 0.000 0.500 0.000
O2 O 0.500 0.000 0.000
```

Computed properties:
relative energy among the computed polymorphs = 3 meV/atom